(1)
! PBE HgW, relaxed; values from VASP
! polymorph energy (0 for the lowest one) = 0 meV per atom
! formation enthalpy at 0 K = 0.504 eV per atom
! space-group type = P-3m1, No. 164
&SYSTEM
  ibrav = 0, nat = 4, ntyp = 2
/
ATOMIC_SPECIES
Hg 200.59 Hg.upf
W 183.84 W.upf
CELL_PARAMETERS angstrom
-2.950 -0.399 -0.955
1.896 -2.468 0.292
-2.717 -1.041 8.829
ATOMIC_POSITIONS crystal
Hg 0.000 0.000 0.986
W 0.333 0.667 0.721
W 0.000 0.000 0.529
Hg 0.333 0.667 0.264

---

(2)
! PBE La2ScH2, relaxed; values from VASP
! space-group type = I4/mmm, No. 139
! E_tot = -4.77 eV per atom
&SYSTEM
  ibrav = 0, nat = 5, ntyp = 3
/
ATOMIC_SPECIES
La 138.91 La.upf
Sc 44.96 Sc.upf
H 1.01 H.upf
CELL_PARAMETERS angstrom
4.208 0.000 0.000
0.000 4.208 0.000
2.104 2.104 6.113
ATOMIC_POSITIONS crystal
La 0.655 0.655 0.690
Sc 0.000 0.000 0.000
La 0.345 0.345 0.310
H 0.750 0.250 0.500
H 0.250 0.750 0.500

---

(3)
! PBE InReRu2, relaxed; values from VASP
! formation enthalpy at 0 K = 0.343 eV per atom
! space-group type = P4/mmm, No. 123
&SYSTEM
  ibrav = 0, nat = 4, ntyp = 3
/
ATOMIC_SPECIES
Ru 101.07 Ru.upf
In 114.82 In.upf
Re 186.21 Re.upf
CELL_PARAMETERS angstrom
3.000 0.000 0.000
0.000 4.566 0.000
0.000 0.000 4.566
ATOMIC_POSITIONS crystal
Ru 0.000 0.500 0.500
Ru 0.000 0.000 0.000
In 0.500 0.500 0.000
Re 0.500 0.000 0.500

---

(4)
! PBE FeGe3P, relaxed; values from VASP
! formation enthalpy at 0 K = 1.017 eV per atom
! space-group type = Pm-3m, No. 221
&SYSTEM
  ibrav = 0, nat = 5, ntyp = 3
/
ATOMIC_SPECIES
Ge 72.64 Ge.upf
P 30.97 P.upf
Fe 55.84 Fe.upf
CELL_PARAMETERS angstrom
4.652 0.000 0.000
0.000 4.652 0.000
0.000 0.000 4.652
ATOMIC_POSITIONS crystal
Ge 0.000 0.500 0.000
Ge 0.500 0.000 0.000
P 0.000 0.000 0.000
Ge 0.000 0.000 0.500
Fe 0.500 0.500 0.500

---

(5)
! PBE KPdPtCl6, relaxed; values from VASP
! space-group type = C2, No. 5
! E_form (uncorrected) = -0.713 eV per atom
&SYSTEM
  ibrav = 0, nat = 9, ntyp = 4
/
ATOMIC_SPECIES
Pd 106.42 Pd.upf
Cl 35.45 Cl.upf
K 39.10 K.upf
Pt 195.08 Pt.upf
CELL_PARAMETERS angstrom
6.426 0.549 -0.225
3.688 6.389 -0.449
-0.227 -0.393 6.783
ATOMIC_POSITIONS crystal
Pd 0.663 0.669 0.500
Cl 0.995 0.628 0.708
Cl 0.361 0.637 0.327
Cl 0.623 0.055 0.275
K 0.050 0.975 0.000
Cl 0.361 0.001 0.673
Pt 0.328 0.336 0.500
Cl 0.624 0.321 0.724
Cl 0.995 0.377 0.292

---

(6)
! PBE Ta2RhBr, relaxed; values from VASP
! polymorph energy (0 for the lowest one) = 570 meV per atom
! space-group type = I-42d, No. 122
! E_form (uncorrected) = 0.586 eV per atom
&SYSTEM
  ibrav = 0, nat = 8, ntyp = 3
/
ATOMIC_SPECIES
Ta 180.95 Ta.upf
Rh 102.91 Rh.upf
Br 79.90 Br.upf
CELL_PARAMETERS angstrom
-0.546 6.842 1.675
-5.741 -1.405 3.870
-1.417 2.269 5.171
ATOMIC_POSITIONS crystal
Ta 0.375 0.371 0.750
Rh 0.750 0.250 0.500
Br 0.250 0.750 0.500
Rh 0.000 0.000 0.000
Ta 0.875 0.879 0.750
Ta 0.121 0.625 0.250
Ta 0.629 0.125 0.250
Br 0.500 0.500 0.000

---

(7)
! PBE Nd3Sm2Os2, relaxed; values from VASP
! formation enthalpy at 0 K = -0.102 eV per atom
! space-group type = C2/m, No. 12
&SYSTEM
  ibrav = 0, nat = 7, ntyp = 3
/
ATOMIC_SPECIES
Os 190.23 Os.upf
Sm 150.36 Sm.upf
Nd 144.24 Nd.upf
CELL_PARAMETERS angstrom
-3.739 -1.423 -0.560
4.043 -5.069 0.472
-0.277 3.286 8.043
ATOMIC_POSITIONS crystal
Os 0.037 0.856 0.218
Sm 0.353 0.521 0.185
Nd 0.804 0.181 0.428
Sm 0.647 0.479 0.815
Nd 0.196 0.819 0.572
Os 0.963 0.144 0.782
Nd 0.500 0.000 0.000

---

(8)
! PBE Th3MnPb, relaxed; values from VASP
! formation enthalpy at 0 K = -0.146 eV per atom
! space-group type = Pm-3m, No. 221
&SYSTEM
  ibrav = 0, nat = 5, ntyp = 3
/
ATOMIC_SPECIES
Mn 54.94 Mn.upf
Pb 207.20 Pb.upf
Th 232.04 Th.upf
CELL_PARAMETERS angstrom
-0.636 5.061 1.178
-4.391 0.111 -2.848
-2.778 -1.334 4.232
ATOMIC_POSITIONS crystal
Mn 0.000 0.000 0.000
Pb 0.500 0.500 0.500
Th 0.000 0.500 0.000
Th 0.500 0.000 0.000
Th 0.000 0.000 0.500

---

(9)
! PBE SrHf2PAu, relaxed; values from VASP
! formation enthalpy at 0 K = 0.570 eV per atom
! space-group type = P4/mmm, No. 123
&SYSTEM
  ibrav = 0, nat = 5, ntyp = 4
/
ATOMIC_SPECIES
Sr 87.62 Sr.upf
P 30.97 P.upf
Hf 178.49 Hf.upf
Au 196.97 Au.upf
CELL_PARAMETERS angstrom
5.102 0.000 0.000
0.000 5.824 0.000
0.000 0.000 5.102
ATOMIC_POSITIONS crystal
Sr 0.000 0.500 0.000
P 0.500 0.500 0.500
Hf 0.000 0.000 0.500
Hf 0.500 0.000 0.000
Au 0.000 0.000 0.000

---

(10)
! PBE NdSm5Ho2Th, relaxed; values from VASP
! formation enthalpy at 0 K = 0.162 eV per atom
! space-group type = Cmc2_1, No. 36
&SYSTEM
  ibrav = 0, nat = 18, ntyp = 4
/
ATOMIC_SPECIES
Ho 164.93 Ho.upf
Sm 150.36 Sm.upf
Nd 144.24 Nd.upf
Th 232.04 Th.upf
CELL_PARAMETERS angstrom
5.688 0.000 0.000
-2.844 10.166 0.000
0.000 0.000 10.527
ATOMIC_POSITIONS crystal
Ho 0.887 0.773 0.234
Sm 0.277 0.554 0.315
Sm 0.295 0.589 0.706
Sm 0.388 0.777 0.027
Sm 0.705 0.411 0.206
Sm 0.612 0.223 0.527
Sm 0.723 0.446 0.815
Ho 0.884 0.769 0.819
Sm 0.523 0.045 0.240
Sm 0.984 0.968 0.523
Ho 0.116 0.231 0.319
Nd 0.589 0.178 0.947
Sm 0.016 0.032 0.023
Th 0.801 0.601 0.514
Th 0.199 0.399 0.014
Nd 0.411 0.822 0.447
Ho 0.113 0.227 0.734
Sm 0.477 0.955 0.740

---

(11)
! PBE Cs2LiZrS4, relaxed; values from VASP
! space-group type = Imma, No. 74
! E_form (uncorrected) = -1.137 eV per atom
&SYSTEM
  ibrav = 0, nat = 16, ntyp = 4
/
ATOMIC_SPECIES
S 32.06 S.upf
Cs 132.91 Cs.upf
Zr 91.22 Zr.upf
Li 6.94 Li.upf
CELL_PARAMETERS angstrom
8.814 -0.438 0.367
-0.445 8.814 0.367
-3.763 -3.766 5.535
ATOMIC_POSITIONS crystal
S 0.800 0.700 0.578
Cs 0.500 0.000 0.000
S 0.800 0.700 0.922
Cs 0.500 0.000 0.500
Cs 0.000 0.000 0.500
S 0.198 0.686 0.942
Cs 0.500 0.500 0.000
S 0.186 0.698 0.442
Zr 0.000 0.500 0.000
Li 0.500 0.500 0.500
S 0.814 0.302 0.558
S 0.200 0.300 0.422
S 0.200 0.300 0.078
Li 0.000 0.000 0.000
Zr 0.000 0.500 0.500
S 0.802 0.314 0.058

---

(12)
! PBE BaIn, relaxed; values from VASP
! formation enthalpy at 0 K = -0.157 eV per atom
! space-group type = Fd-3m, No. 227
&SYSTEM
  ibrav = 0, nat = 4, ntyp = 2
/
ATOMIC_SPECIES
Ba 137.33 Ba.upf
In 114.82 In.upf
CELL_PARAMETERS angstrom
5.971 0.000 0.000
2.986 5.171 0.000
2.986 1.724 4.876
ATOMIC_POSITIONS crystal
Ba 0.250 0.250 0.250
In 0.750 0.750 0.750
Ba 0.000 0.000 0.000
In 0.500 0.500 0.500

---

no.,spin magnetization (μB per formula unit)
1,0.00
2,0.00
3,0.00
4,2.93
5,1.02
6,0.00
7,0.00
8,0.00
9,0.00
10,0.00
11,0.00
12,0.00